No. 1
## Dy3HoRh4 (PBE)

Data for Dy3HoRh4 after structural relaxation.

Cell and atoms, written as POSCAR:
```
Dy3HoRh4
1.0
4.8733 0.0000 0.0000
0.0000 4.8733 0.0000
0.0000 0.0000 6.7407
Dy Ho Rh
3 1 4
direct
0.0000 0.0000 0.0000
0.0000 0.0000 0.5000
0.5000 0.5000 0.0000
0.5000 0.5000 0.5000
0.0000 0.5000 0.2506
0.0000 0.5000 0.7494
0.5000 0.0000 0.2506
0.5000 0.0000 0.7494
```

Calculated values
ρ   11.04 g/cm³
Calculated total energy   -6.856 eV/atom
Magnetization   0.00 μB/atom
Symmetry   No. 123
Formation energy   -20.35 kcal/mol of atoms


No. 2
## Dy4HoRh4 (PBE)

Data for Dy4HoRh4 after structural relaxation.

Cell and atoms, written as POSCAR:
```
Dy4HoRh4
1.0
8.7646 0.0000 0.0000
0.0000 8.7646 0.0000
0.0000 0.0000 5.6187
Dy Ho Rh
8 2 8
direct
0.0670 0.6644 0.1555
0.1644 0.9330 0.6555
0.3356 0.5670 0.6555
0.4330 0.8356 0.1555
0.5670 0.1644 0.8445
0.6644 0.4330 0.3445
0.8356 0.0670 0.3445
0.9330 0.3356 0.8445
0.2500 0.2500 0.2500
0.7500 0.7500 0.7500
0.0253 0.6270 0.6522
0.1270 0.9747 0.1522
0.3730 0.5253 0.1522
0.4747 0.8730 0.6522
0.5253 0.1270 0.3478
0.6270 0.4747 0.8478
0.8730 0.0253 0.8478
0.9747 0.3730 0.3478
```

Calculated values
ρ   9.44 g/cm³
Calculated total energy   -6.493 eV/atom
Magnetization   0.00 μB/atom
Symmetry   No. 86
Formation energy   -15.49 kcal/mol of atoms


No. 3
## DyHoRh (PBE)

Data for DyHoRh after structural relaxation.

Cell and atoms, written as POSCAR:
```
DyHoRh
1.0
0.0000 3.3908 3.3908
3.3908 0.0000 3.3908
3.3908 3.3908 0.0000
Dy Ho Rh
1 1 1
direct
0.0000 0.0000 0.0000
0.5000 0.5000 0.5000
0.2500 0.2500 0.2500
```

Calculated values
ρ   9.16 g/cm³
Calculated total energy   -6.109 eV/atom
Magnetization   0.00 μB/atom
Symmetry   No. 216
Formation energy   -13.79 kcal/mol of atoms


No. 4
## Dy3Ho2Rh2 (PBE)

Data for Dy3Ho2Rh2 after structural relaxation.

Cell and atoms, written as POSCAR:
```
Dy3Ho2Rh2
1.0
5.9897 -1.8973 0.0000
5.9897 1.8973 0.0000
-3.9086 0.0000 7.9638
Dy Ho Rh
3 2 2
direct
0.0000 0.0000 0.0000
0.1154 0.1154 0.4299
0.8846 0.8846 0.5701
0.3332 0.3332 0.1913
0.6668 0.6668 0.8087
0.3213 0.3213 0.7600
0.6787 0.6787 0.2400
```

Calculated values
ρ   9.39 g/cm³
Calculated total energy   -5.967 eV/atom
Magnetization   0.00 μB/atom
Symmetry   No. 12
Formation energy   -13.53 kcal/mol of atoms


No. 5
## Dy5HoRh6 (PBE)

Data for Dy5HoRh6 after structural relaxation.

Cell and atoms, written as POSCAR:
```
Dy5HoRh6
1.0
2.4164 -7.2558 0.0000
2.4164 7.2558 0.0000
0.0000 0.0000 6.8621
Dy Ho Rh
5 1 6
direct
0.0000 0.0000 0.0000
0.3334 0.6666 0.0000
0.3335 0.6665 0.5000
0.6666 0.3334 0.0000
0.6665 0.3335 0.5000
0.0000 0.0000 0.5000
0.1665 0.8335 0.2502
0.1665 0.8335 0.7498
0.5000 0.5000 0.2508
0.5000 0.5000 0.7492
0.8335 0.1665 0.2502
0.8335 0.1665 0.7498
```

Calculated values
ρ   11.01 g/cm³
Calculated total energy   -6.856 eV/atom
Magnetization   0.00 μB/atom
Symmetry   No. 65
Formation energy   -20.32 kcal/mol of atoms


No. 6
## DyHo3Rh2 (PBE)

Data for DyHo3Rh2 after structural relaxation.

Cell and atoms, written as POSCAR:
```
DyHo3Rh2
1.0
-3.3406 6.7549 3.5206
3.3406 -6.7549 3.5206
3.3406 6.7549 -3.5206
Dy Ho Rh
2 6 4
direct
0.0000 0.0000 0.0000
0.5000 0.5000 0.0000
0.0177 0.2500 0.7677
0.2500 0.7500 0.5000
0.4823 0.2500 0.2323
0.5177 0.7500 0.7677
0.7500 0.2500 0.5000
0.9823 0.7500 0.2323
0.1383 0.7113 0.8496
0.3617 0.2113 0.5730
0.6383 0.7887 0.4270
0.8617 0.2887 0.1504
```

Calculated values
ρ   9.02 g/cm³
Calculated total energy   -6.091 eV/atom
Magnetization   0.00 μB/atom
Symmetry   No. 72
Formation energy   -13.48 kcal/mol of atoms


No. 7
## DyHo3Rh (PBE)

Data for DyHo3Rh after structural relaxation.

Cell and atoms, written as POSCAR:
```
DyHo3Rh
1.0
5.3770 0.0000 0.0000
0.0000 5.3770 0.0000
0.0000 0.0000 5.3770
Dy Ho Rh
1 3 1
direct
0.0000 0.0000 0.0000
0.0000 0.5000 0.5000
0.5000 0.0000 0.5000
0.5000 0.5000 0.0000
0.5000 0.5000 0.5000
```

Calculated values
ρ   8.12 g/cm³
Calculated total energy   -5.363 eV/atom
Magnetization   0.00 μB/atom
Symmetry   No. 221
Formation energy   -5.20 kcal/mol of atoms


No. 8
## Dy2HoRh (PBE)

Data for Dy2HoRh after structural relaxation.

Cell and atoms, written as POSCAR:
```
Dy2HoRh
1.0
1.9029 -5.9083 0.0000
1.9029 5.9083 0.0000
0.0000 0.0000 9.4146
Dy Ho Rh
4 2 2
direct
0.1381 0.8619 0.5671
0.1381 0.8619 0.9329
0.8619 0.1381 0.0671
0.8619 0.1381 0.4329
0.4232 0.5768 0.7500
0.5768 0.4232 0.2500
0.2566 0.7434 0.2500
0.7434 0.2566 0.7500
```

Calculated values
ρ   9.30 g/cm³
Calculated total energy   -5.783 eV/atom
Magnetization   0.00 μB/atom
Symmetry   No. 63
Formation energy   -11.53 kcal/mol of atoms


No. 9
## Dy2HoRh (PBE)

Data for Dy2HoRh after structural relaxation.

Cell and atoms, written as POSCAR:
```
Dy2HoRh
1.0
7.1510 0.0000 0.0000
0.0000 9.4740 0.0000
0.0000 0.0000 6.2747
Dy Ho Rh
8 4 4
direct
0.1780 0.0634 0.1715
0.1780 0.4366 0.1715
0.3220 0.5634 0.6715
0.3220 0.9366 0.6715
0.6780 0.0634 0.3285
0.6780 0.4366 0.3285
0.8220 0.5634 0.8285
0.8220 0.9366 0.8285
0.0353 0.2500 0.6379
0.4647 0.7500 0.1379
0.5353 0.2500 0.8621
0.9647 0.7500 0.3621
0.1176 0.7500 0.9448
0.3824 0.2500 0.4448
0.6176 0.7500 0.5552
0.8824 0.2500 0.0552
```

Calculated values
ρ   9.26 g/cm³
Calculated total energy   -5.816 eV/atom
Magnetization   0.00 μB/atom
Symmetry   No. 62
Formation energy   -12.27 kcal/mol of atoms


No. 10
## Dy2HoRh (PBE)

Data for Dy2HoRh after structural relaxation.

Cell and atoms, written as POSCAR:
```
Dy2HoRh
1.0
1.9024 1.0983 9.1000
-1.9024 1.0983 9.1000
0.0000 -2.1967 9.1000
Dy Ho Rh
2 1 1
direct
0.0000 0.0000 0.0000
0.2124 0.2124 0.2124
0.4409 0.4409 0.4409
0.6059 0.6059 0.6059
```

Calculated values
ρ   8.63 g/cm³
Calculated total energy   -5.615 eV/atom
Magnetization   0.12 μB/atom
Symmetry   No. 160
Formation energy   -7.64 kcal/mol of atoms


No. 11
## DyHo2Rh (PBE)

Data for DyHo2Rh after structural relaxation.

Cell and atoms, written as POSCAR:
```
DyHo2Rh
1.0
3.4859 0.0000 0.0000
0.0000 3.4859 0.0000
0.0000 0.0000 8.5441
Dy Ho Rh
1 2 1
direct
0.0000 0.0000 0.0000
0.5000 0.5000 0.3105
0.5000 0.5000 0.6895
0.0000 0.0000 0.5000
```

Calculated values
ρ   9.52 g/cm³
Calculated total energy   -5.692 eV/atom
Magnetization   0.00 μB/atom
Symmetry   No. 123
Formation energy   -9.57 kcal/mol of atoms


No. 12
## Dy3Ho3Rh2 (PBE)

Data for Dy3Ho3Rh2 after structural relaxation.

Cell and atoms, written as POSCAR:
```
Dy3Ho3Rh2
1.0
1.8897 -6.5411 0.0000
1.8897 6.5411 0.0000
0.0000 0.0000 17.9742
Dy Ho Rh
6 6 4
direct
0.0593 0.9407 0.5889
0.0593 0.9407 0.9111
0.2724 0.7276 0.7500
0.7276 0.2724 0.2500
0.9407 0.0593 0.0889
0.9407 0.0593 0.4111
0.3270 0.6730 0.5598
0.3270 0.6730 0.9402
0.4541 0.5459 0.2500
0.5459 0.4541 0.7500
0.6730 0.3270 0.0598
0.6730 0.3270 0.4402
0.2992 0.7008 0.1375
0.2992 0.7008 0.3625
0.7008 0.2992 0.6375
0.7008 0.2992 0.8625
```

Calculated values
ρ   8.88 g/cm³
Calculated total energy   -5.699 eV/atom
Magnetization   0.00 μB/atom
Symmetry   No. 63
Formation energy   -9.65 kcal/mol of atoms